{
  "formula": "RuAu2Cl",
  "functional": "PBE-GGA",
  "state": "optimized geometry",
  "lattice": [[6.964, 0.046, -0.003], [4.817, 5.030, 0.003], [-5.414, -3.643, 2.432]],
  "species": ["Cl", "Au", "Au", "Ru"],
  "frac_coords": [[0.584, 0.584, 0.000], [0.913, 0.913, 0.000], [0.276, 0.776, 0.500], [0.728, 0.228, 0.500]],
  "e_above_lowest_polymorph_mev_per_atom": 44,
  "e_form_raw_ev_per_atom": 0.33,
  "dos_ef_per_ev_cell": 3.9
}